Computed, not measured: NaBe2Pt2 at its PBEsol-relaxed geometry at the meta-GGA SCAN level of DFT.

Calculated values
- Fermi-level density of states (states/eV/cell) = 1.79
- uncorrected energy (eV/cell) = -313.718
- calculated formation energy (eV/atom) = -0.71

Cell and atoms, written as extended XYZ:
```
10
Lattice="6.8484 0.0000 0.0000 0.0000 6.8484 0.0000 0.0000 0.0000 2.7223" Properties=species:S:1:pos:R:3 pbc="T T T"
Na 0.0000 0.0000 0.0000
Na 3.4242 3.4242 0.0000
Be 0.8808 2.5434 0.0000
Be 2.5434 5.9675 0.0000
Be 4.3050 0.8808 0.0000
Be 5.9675 4.3050 0.0000
Pt 1.0847 4.5089 1.3611
Pt 2.3395 1.0847 1.3611
Pt 4.5089 5.7637 1.3611
Pt 5.7637 2.3395 1.3611
```

=====

Computed, not measured: NaBe3Pt at its PBEsol-relaxed geometry at the meta-GGA SCAN level of DFT.

Calculated values
- Fermi-level density of states (states/eV/cell) = 1.65
- uncorrected energy (eV/cell) = -79.311
- calculated formation energy (eV/atom) = 1.63
- relative energy among the computed polymorphs (meV/atom) = 1783

Cell and atoms, written as extended XYZ:
```
5
Lattice="4.0182 0.0000 0.0000 0.0000 4.0182 0.0000 0.0000 0.0000 4.0182" Properties=species:S:1:pos:R:3 pbc="T T T"
Na 0.0000 0.0000 0.0000
Be 0.0000 0.0000 2.0091
Be 0.0000 2.0091 0.0000
Be 2.0091 0.0000 0.0000
Pt 2.0091 2.0091 2.0091
```

=====

Computed, not measured: Na3BePt at its PBEsol-relaxed geometry at the meta-GGA SCAN level of DFT.

Calculated values
- Fermi-level density of states (states/eV/cell) = 2.74
- uncorrected energy (eV/cell) = -84.048
- calculated formation energy (eV/atom) = 0.63

Cell and atoms, written as extended XYZ:
```
5
Lattice="5.3519 0.0000 0.0000 0.0000 5.3519 0.0000 0.0000 0.0000 5.3519" Properties=species:S:1:pos:R:3 pbc="T T T"
Na 0.0000 0.0000 2.6759
Na 0.0000 2.6759 0.0000
Na 2.6759 0.0000 0.0000
Be 2.6759 2.6759 2.6759
Pt 0.0000 0.0000 0.0000
```

=====

Computed, not measured: NaBe2Pt at its PBEsol-relaxed geometry at the meta-GGA SCAN level of DFT.

Calculated values
- Fermi-level density of states (states/eV/cell) = 1.35
- uncorrected energy (eV/cell) = -166.771
- calculated formation energy (eV/atom) = -0.07

Cell and atoms, written as extended XYZ:
```
8
Lattice="-2.2179 2.2179 7.4541 2.2179 -2.2179 7.4541 2.2179 2.2179 -7.4541" Properties=species:S:1:pos:R:3 pbc="T T T"
Na 2.2179 1.1090 1.8635
Na 0.0000 1.1090 5.5906
Be 0.0000 0.0000 0.0000
Be 1.1090 1.1090 -3.7271
Be 1.1090 -1.1090 3.7271
Be 0.0000 2.2179 0.0000
Pt 2.2179 -1.1090 5.5906
Pt 0.0000 3.3269 1.8635
```

=====

Computed, not measured: RbNaBe3 at its PBEsol-relaxed geometry at the meta-GGA SCAN level of DFT.

Calculated values
- Fermi-level density of states (states/eV/cell) = 2.66
- uncorrected energy (eV/cell) = -27.813
- calculated formation energy (eV/atom) = 2.04

Cell and atoms, written as extended XYZ:
```
5
Lattice="5.7332 0.0000 0.0000 0.0000 5.7332 0.0000 0.0000 0.0000 5.7332" Properties=species:S:1:pos:R:3 pbc="T T T"
Rb 0.0000 0.0000 0.0000
Na 2.8666 2.8666 2.8666
Be 0.0000 0.0000 2.8666
Be 0.0000 2.8666 0.0000
Be 2.8666 0.0000 0.0000
```

=====

Computed, not measured: RbNa2BeW at its PBEsol-relaxed geometry at the meta-GGA SCAN level of DFT.

Calculated values
- Fermi-level density of states (states/eV/cell) = 2.87
- uncorrected energy (eV/cell) = -93.125
- calculated formation energy (eV/atom) = 2.02

Cell and atoms, written as extended XYZ:
```
5
Lattice="5.9575 0.0000 0.0000 0.0000 5.9575 0.0000 0.0000 0.0000 6.6789" Properties=species:S:1:pos:R:3 pbc="T T T"
Rb 0.0000 0.0000 0.0000
Na 0.0000 2.9787 3.3394
Na 2.9787 0.0000 3.3394
Be 2.9787 2.9787 0.0000
W 0.0000 0.0000 3.3394
```

=====

Computed, not measured: NaTiBe2Re at its PBEsol-relaxed geometry at the meta-GGA SCAN level of DFT.

Calculated values
- Fermi-level density of states (states/eV/cell) = 2.65
- uncorrected energy (eV/cell) = -96.641
- calculated formation energy (eV/atom) = 0.68

Cell and atoms, written as extended XYZ:
```
5
Lattice="4.5200 0.0000 0.0000 0.0000 4.5200 0.0000 0.0000 0.0000 4.5629" Properties=species:S:1:pos:R:3 pbc="T T T"
Na 0.0000 0.0000 0.0000
Ti 2.2600 2.2600 0.0000
Be 0.0000 2.2600 2.2814
Be 2.2600 0.0000 2.2814
Re 2.2600 2.2600 2.2814
```

=====

Computed, not measured: NaBe2SiRh at its PBEsol-relaxed geometry at the meta-GGA SCAN level of DFT.

Calculated values
- Fermi-level density of states (states/eV/cell) = 2.48
- uncorrected energy (eV/cell) = -47.870
- ΔE_f (raw) (eV/atom) = 1.768

Cell and atoms, written as extended XYZ:
```
5
Lattice="4.0807 0.0000 0.0000 0.0000 4.0807 0.0000 0.0000 0.0000 4.5221" Properties=species:S:1:pos:R:3 pbc="T T T"
Na 0.0000 0.0000 0.0000
Be 0.0000 2.0403 0.0000
Be 2.0403 0.0000 0.0000
Si 2.0403 2.0403 2.2611
Rh 0.0000 0.0000 2.2611
```

=====

Which value of uncorrected energy does entry 1 give? -313.718 eV/cell

=====

What is the uncorrected energy in the eighth record? -47.870 eV/cell

=====

Among the records above, which one has the lowest uncorrected energy? NaBe2Pt2